1.
ReHgIr2: optimized geometry, PBE.

a b c (Å): 7.3086 7.3086 5.8549
angles (deg): 51.38 51.38 90.00
Sites, in units of the cell vectors:
Re 0.5000 0.5000 0.0000
Re 0.2500 0.7500 0.5000
Ir 0.5779 0.1250 0.2500
Ir 0.1721 0.6250 0.2500
Ir 0.3750 0.4221 0.7500
Ir 0.8750 0.8279 0.7500
Hg 0.0000 0.0000 0.0000
Hg 0.7500 0.2500 0.5000

Results
- total magnetization (μB/f.u.) = 0.0
- E_form (eV per atom) = 0.801

2.
ReHgIr2: optimized geometry, PBE.

a b c (Å): 4.8065 4.8065 2.8199
angles (deg): 90.00 90.00 90.00
Sites, in units of the cell vectors:
Hg 0.0000 0.5000 0.5000
Ir 0.0000 0.0000 0.0000
Ir 0.5000 0.5000 0.0000
Re 0.5000 0.0000 0.5000

Results
- total magnetization (μB/f.u.) = 0.6
- E_form (eV per atom) = 0.662

3.
ReHg2Ir: optimized geometry, PBE.

a b c (Å): 4.2415 4.2415 8.3339
angles (deg): 71.87 71.87 38.16
Sites, in units of the cell vectors:
Hg 0.9735 0.9735 0.0129
Hg 0.7368 0.7368 0.7177
Ir 0.5036 0.5036 0.4512
Re 0.2860 0.2860 0.3182

Results
- total magnetization (μB/f.u.) = 0.0
- E_form (eV per atom) = 0.507

4.
ReHgIr2: optimized geometry, PBE.

a b c (Å): 4.8883 4.8883 4.9231
angles (deg): 80.22 80.22 33.63
Sites, in units of the cell vectors:
Hg 0.2509 0.2509 0.2363
Ir 0.0093 0.0093 0.9976
Ir 0.7510 0.7510 0.7265
Re 0.4887 0.4887 0.5396

Results
- total magnetization (μB/f.u.) = 0.0
- E_form (eV per atom) = 0.408

5.
ReHgIr2: optimized geometry, PBE.

a b c (Å): 3.8533 4.0843 4.0843
angles (deg): 90.00 90.00 90.00
Sites, in units of the cell vectors:
Hg 0.5000 0.0000 0.5000
Ir 0.0000 0.0000 0.0000
Ir 0.0000 0.5000 0.5000
Re 0.5000 0.5000 0.0000

Results
- total magnetization (μB/f.u.) = 1.5
- E_form (eV per atom) = 0.701

6.
ReHg2Ir: optimized geometry, PBE.

a b c (Å): 4.6547 4.6547 4.6547
angles (deg): 60.00 60.00 60.00
Sites, in units of the cell vectors:
Hg 0.0000 0.0000 0.0000
Hg 0.2500 0.2500 0.2500
Ir 0.5000 0.5000 0.5000
Re 0.7500 0.7500 0.7500

Results
- total magnetization (μB/f.u.) = 1.5
- E_form (eV per atom) = 0.948